Record 1
First-principles (PBE-GGA) data for a relaxed Pu2ZrSe4 crystal, as listed in Alexandria via LeMat-Bulk.

Properties
Space group: No. 63
ΔE_f (raw) (eV/atom): -1.32
Size of the total moment (Bohr magnetons per cell): 22.6
Crystal system: orthorhombic

```
Pu2ZrSe4
1.0
1.916 -6.824 0.000
1.916 6.824 0.000
0.000 0.000 13.826
Pu Zr Se
4 2 8
direct
0.134 0.866 0.574
0.134 0.866 0.926
0.866 0.134 0.074
0.866 0.134 0.426
0.368 0.632 0.750
0.632 0.368 0.250
0.015 0.985 0.750
0.216 0.784 0.127
0.216 0.784 0.373
0.500 0.500 0.000
0.500 0.500 0.500
0.784 0.216 0.627
0.784 0.216 0.873
0.985 0.015 0.250
```

Record 2
First-principles (PBE-GGA) data for a relaxed ZrBr3O crystal, as listed in Alexandria via LeMat-Bulk.

Properties
Space group: No. 221
ΔE_f (raw) (eV/atom): -0.36
Size of the total moment (Bohr magnetons per cell): 1.4
Crystal system: cubic

```
ZrBr3O
1.0
5.294 0.000 0.000
0.000 5.294 0.000
0.000 0.000 5.294
Zr Br O
1 3 1
direct
0.000 0.000 0.000
0.000 0.000 0.500
0.000 0.500 0.000
0.500 0.000 0.000
0.500 0.500 0.500
```

Record 3
First-principles (PBE-GGA) data for a relaxed KSeBr4 crystal, as listed in Alexandria via LeMat-Bulk.

Properties
Space group: No. 11
ΔE_f (raw) (eV/atom): -0.55
Polymorph energy (0 for the lowest one) (kJ/mol of formula units): 40
Size of the total moment (Bohr magnetons per cell): 0.0
Crystal system: monoclinic

```
KSeBr4
1.0
6.696 0.000 0.000
0.000 10.384 0.000
-1.640 0.000 7.642
K Se Br
2 2 8
direct
0.145 0.250 0.190
0.855 0.750 0.810
0.330 0.750 0.382
0.670 0.250 0.618
0.119 0.573 0.143
0.119 0.927 0.143
0.328 0.250 0.663
0.337 0.750 0.714
0.663 0.250 0.286
0.672 0.750 0.337
0.881 0.073 0.857
0.881 0.427 0.857
```

Record 4
First-principles (PBE-GGA) data for a relaxed CaP2SeCl crystal, as listed in Alexandria via LeMat-Bulk.

Properties
Space group: No. 123
ΔE_f (raw) (eV/atom): 0.58
Polymorph energy (0 for the lowest one) (kJ/mol of formula units): 267
Size of the total moment (Bohr magnetons per cell): 1.1
Crystal system: tetragonal

```
CaP2SeCl
1.0
5.532 0.000 0.000
0.000 5.532 0.000
0.000 0.000 4.949
Ca P Se Cl
1 2 1 1
direct
0.000 0.000 0.000
0.000 0.500 0.000
0.500 0.000 0.000
0.500 0.500 0.500
0.000 0.000 0.500
```

Record 5
First-principles (PBE-GGA) data for a relaxed Li2SiRu crystal, as listed in Alexandria via LeMat-Bulk.

Properties
Space group: No. 65
ΔE_f (raw) (eV/atom): -0.08
Size of the total moment (Bohr magnetons per cell): 0.0
Crystal system: orthorhombic

```
Li2SiRu
1.0
2.413 -4.307 0.000
2.413 4.307 0.000
0.000 0.000 2.613
Li Si Ru
2 1 1
direct
0.000 0.500 0.000
0.500 0.000 0.000
0.000 0.000 0.500
0.500 0.500 0.500
```

Record 6
First-principles (PBE-GGA) data for a relaxed Tl2AgHg2 crystal, as listed in Alexandria via LeMat-Bulk.

Properties
Space group: No. 139
Polymorph energy (0 for the lowest one) (kJ/mol of formula units): 43
Size of the total moment (Bohr magnetons per cell): 0.0
Energy of formation (eV per atom): 0.1712
Crystal system: tetragonal

```
Tl2AgHg2
1.0
-2.044 2.044 8.708
2.044 -2.044 8.708
2.044 2.044 -8.708
Tl Ag Hg
2 1 2
direct
0.091 0.091 0.000
0.909 0.909 0.000
0.500 0.500 0.000
0.250 0.750 0.500
0.750 0.250 0.500
```

Record 7
First-principles (PBE-GGA) data for a relaxed Ac2Ga2Pt5 crystal, as listed in Alexandria via LeMat-Bulk.

Properties
Space group: No. 12
Size of the total moment (Bohr magnetons per cell): 0.0
Energy of formation (eV per atom): -0.8721
Crystal system: monoclinic

```
Ac2Ga2Pt5
1.0
5.814 -2.138 0.000
5.814 2.138 0.000
-2.913 0.000 7.629
Ac Ga Pt
2 2 5
direct
0.013 0.013 0.274
0.987 0.987 0.726
0.276 0.276 0.758
0.724 0.724 0.242
0.291 0.291 0.116
0.322 0.322 0.463
0.500 0.500 0.000
0.678 0.678 0.537
0.709 0.709 0.884
```

Record 8
First-principles (PBE-GGA) data for a relaxed Ac8Si3Te4Au crystal, as listed in Alexandria via LeMat-Bulk.

Properties
Space group: No. 166
ΔE_f (raw) (eV/atom): -1.09
Size of the total moment (Bohr magnetons per cell): 0.0
Crystal system: trigonal

```
Ac8Si3Te4Au
1.0
4.636 2.676 7.787
-4.636 2.676 7.787
0.000 -5.353 7.787
Ac Si Te Au
8 3 4 1
direct
0.234 0.746 0.746
0.241 0.241 0.241
0.254 0.254 0.766
0.254 0.766 0.254
0.746 0.234 0.746
0.746 0.746 0.234
0.759 0.759 0.759
0.766 0.254 0.254
0.000 0.000 0.500
0.000 0.500 0.000
0.500 0.000 0.000
0.000 0.000 0.000
0.000 0.500 0.500
0.500 0.000 0.500
0.500 0.500 0.000
0.500 0.500 0.500
```

Record 9
First-principles (PBE-GGA) data for a relaxed Ba2SrRu crystal, as listed in Alexandria via LeMat-Bulk.

Properties
Space group: No. 225
Polymorph energy (0 for the lowest one) (kJ/mol of formula units): 111
Size of the total moment (Bohr magnetons per cell): 0.0
Energy of formation (eV per atom): 0.5985
Crystal system: cubic

```
Ba2SrRu
1.0
0.000 4.111 4.111
4.111 0.000 4.111
4.111 4.111 0.000
Ba Sr Ru
2 1 1
direct
0.250 0.250 0.250
0.750 0.750 0.750
0.000 0.000 0.000
0.500 0.500 0.500
```

Number 1: DOS(E_F) 37.370 states/eV per cell. Number 2: DOS(E_F) 10.347 states/eV per cell. Number 3: DOS(E_F) 1.511 states/eV per cell. Number 4: DOS(E_F) 4.734 states/eV per cell. Number 5: DOS(E_F) 1.572 states/eV per cell. Number 6: DOS(E_F) 2.357 states/eV per cell. Number 7: DOS(E_F) 2.696 states/eV per cell. Number 8: DOS(E_F) 11.572 states/eV per cell. Number 9: DOS(E_F) 2.446 states/eV per cell.